(1)
Here is Nd7Zn2Au2 after structural relaxation from the Alexandria database. Energies are from PBE.

Summary:
formation enthalpy at 0 K: -0.14 eV/atom
Fermi-level density of states: 29.70 states/eV per cell

Lattice parameters (Å, degrees): 7.6312 11.0772 7.8439 90.00 90.00 90.00
With the nearest neighbours (Å) after each atom.
Space group Cmmm (No. 65)
Inequivalent atoms, fractional coordinates:
Nd 0.0000 0.0000 0.0000 (multiplicity 2)  2 Zn 3.21
Nd 0.0000 0.5000 0.2598 (multiplicity 4)  2 Au 3.06, 2 Zn 3.10, 4 Nd 3.37
Nd 0.2500 0.2500 0.2853 (multiplicity 8)  2 Zn 2.97, 2 Au 3.28
Zn 0.0000 0.2897 0.0000 (multiplicity 4)  7 Nd 2.97-3.21
Au 0.1838 0.0000 0.5000 (multiplicity 4)  1 Au 2.80, 2 Nd 3.06

***

(2)
Here is NdZnAu4 after structural relaxation from the Alexandria database. Energies are from PBE.

Summary:
formation enthalpy at 0 K: -0.40 eV/atom
energy relative to the lowest polymorph listed for this composition: 0.0000 eV/atom
Fermi-level density of states: 10.78 states/eV per cell

Lattice parameters (Å, degrees): 5.0441 13.8790 7.3171 90.00 90.00 90.00
With the nearest neighbours (Å) after each atom.
Space group Cmcm (No. 63)
Inequivalent atoms, fractional coordinates:
Nd 0.0000 0.1131 0.2500 (multiplicity 4)  5 Au 2.95-3.19
Zn 0.0000 0.3669 0.2500 (multiplicity 4)  6 Au 2.54-2.60
Au 0.0000 0.0993 0.7500 (multiplicity 4)  2 Zn 2.57
Au 0.0000 0.2870 0.5625 (multiplicity 8)  1 Zn 2.54, 1 Au 2.74
Au 0.0000 0.5000 0.0000 (multiplicity 4)  2 Zn 2.60

***

(3)
Here is NdZn9Au3 after structural relaxation from the Alexandria database. Energies are from PBE.

Summary:
formation enthalpy at 0 K: -0.25 eV/atom
Fermi-level density of states: 10.87 states/eV per cell

Lattice parameters (Å, degrees): 5.4482 12.8037 6.9531 90.00 112.11 90.00
With the nearest neighbours (Å) after each atom.
Space group C2/m (No. 12)
Inequivalent atoms, fractional coordinates:
Nd 0.0000 0.0000 0.0000 (multiplicity 2)  14 Zn 3.25-3.52, 6 Au 3.48
Zn 0.0000 0.5000 0.5000 (multiplicity 2)  8 Zn 2.61-2.81, 2 Au 2.72
Zn 0.1013 0.3937 0.2178 (multiplicity 8)  5 Zn 2.61-2.91, 3 Au 2.68-2.69
Zn 0.1813 0.1782 0.3586 (multiplicity 8)  3 Zn 2.59-2.88, 3 Au 2.81-2.86
Au 0.0000 0.0000 0.5000 (multiplicity 2)  10 Zn 2.69-2.81
Au 0.2500 0.2500 0.0000 (multiplicity 4)  8 Zn 2.68-2.86, 2 Au 2.72

***

(4)
Here is NdZn3Au3 after structural relaxation from the Alexandria database. Energies are from PBE.

Summary:
formation enthalpy at 0 K: -0.03 eV/atom
energy relative to the lowest polymorph listed for this composition: 0.0000 eV/atom
Fermi-level density of states: 8.63 states/eV per cell

Lattice parameters (Å, degrees): 6.9888 6.9888 6.9888 90.00 90.00 90.00
With the nearest neighbours (Å) after each atom.
Space group Pm-3n (No. 223)
Inequivalent atoms, fractional coordinates:
Nd 0.0000 0.0000 0.0000 (multiplicity 2)  12 Zn 3.91, 12 Au 3.91
Zn 0.0000 0.2500 0.5000 (multiplicity 6)  4 Au 2.47
Au 0.0000 0.5000 0.2500 (multiplicity 6)  4 Zn 2.47